Below is a relaxed structure of Sm4HPb2, with properties calculated at the GGA-PBE level.

a b c (Å): 9.331 9.331 9.331
angles (deg): 151.01 151.01 41.45
Sites, in units of the cell vectors:
1 Sm 0.000 0.500 0.500
2 Sm 0.177 0.177 0.000
3 Sm 0.500 0.000 0.500
4 Sm 0.823 0.823 0.000
5 H 0.000 0.000 0.000
6 Pb 0.361 0.361 0.000
7 Pb 0.639 0.639 0.000

Computed properties:
**Electronic total energy**: -0.3474 Ry/atom
**Volume**: 27.19 Å³/atom
**Total moment**: 0.0 Bohr magnetons per cell